# 1
VASP calculation (GGA-PBE) on a relaxed KBeTe crystal.

POSCAR file:
```
KBeTe
1.0
-4.2218 2.9895 4.1301
-3.7119 -0.4805 5.4606
2.0630 1.3792 2.8130
Te K Be
1 1 1
direct
0.6060 0.6060 0.3940
0.3273 0.3273 0.6727
0.0668 0.0668 0.9332
```

Output
total magnetic moment	0.4	μB per formula unit
raw formation energy	0.06	eV per atom
polymorph energy (0 for the lowest one)	242.3	meV per atom

# 2
VASP calculation (GGA-PBE) on a relaxed K2BeTe crystal.

POSCAR file:
```
K2BeTe
1.0
-2.1442 1.0124 -2.5118
2.5417 -2.4666 -3.1640
-4.7169 -6.6087 1.3629
Be Te K
1 1 2
direct
0.5000 0.5000 0.7500
0.5000 0.5000 0.2500
0.0000 0.0000 0.0071
0.0000 0.0000 0.4929
```

Output
total magnetic moment	0.0	μB per formula unit
raw formation energy	0.15	eV per atom
polymorph energy (0 for the lowest one)	320.8	meV per atom

# 3
VASP calculation (GGA-PBE) on a relaxed KBe3Te crystal.

POSCAR file:
```
KBe3Te
1.0
5.3105 0.0000 0.0000
0.0000 5.3105 0.0000
0.0000 0.0000 5.3105
Be Te K
3 1 1
direct
0.5000 0.0000 0.0000
0.0000 0.0000 0.5000
0.0000 0.5000 0.0000
0.5000 0.5000 0.5000
0.0000 0.0000 0.0000
```

Output
total magnetic moment	0.0	μB per formula unit
raw formation energy	2.13	eV per atom
polymorph energy (0 for the lowest one)	946.4	meV per atom